No. 1
This record from the Alexandria database describes an optimized crystal structure of Lu2AgHg. The functional is PBEsol.

POSCAR file:
```
Lu2AgHg
1.0
5.001 0.000 0.000
2.501 4.331 0.000
2.501 1.444 4.083
Hg Lu Ag
1 2 1
Direct
0.000 0.000 0.000 Hg
0.250 0.250 0.250 Lu
0.750 0.750 0.750 Lu
0.500 0.500 0.500 Ag
```

- energy (eV/atom) = -3.88
- calculated density (Mg/m³) = 12.36
- M_tot (Bohr magnetons per cell) = 0.0
- ΔE_f (eV/atom) = -0.47
- crystal system = cubic
- symmetry = Fm-3m (225)


No. 2
This record from the Alexandria database describes an optimized crystal structure of MnInFe2. The functional is PBEsol.

POSCAR file:
```
MnInFe2
1.0
3.079 0.000 0.000
0.000 4.195 -0.042
-1.540 -2.061 4.114
Mn In Fe
1 1 2
Direct
0.500 0.000 0.000 Mn
0.000 0.500 0.000 In
0.766 0.766 0.531 Fe
0.234 0.234 0.469 Fe
```

- energy (eV/atom) = -7.39
- calculated density (Mg/m³) = 8.84
- M_tot (Bohr magnetons per cell) = 6.5
- ΔE_f (eV/atom) = 0.28
- crystal system = orthorhombic
- symmetry = Immm (71)


No. 3
This record from the Alexandria database describes an optimized crystal structure of LaTa2TcRu. The functional is PBEsol.

POSCAR file:
```
LaTa2TcRu
1.0
-0.443 0.205 4.694
-2.183 -4.184 -0.023
4.552 -2.378 0.534
Ta La Tc Ru
2 1 1 1
Direct
0.500 0.000 0.000 Ta
0.000 0.500 0.000 Ta
0.000 0.000 0.500 La
0.500 0.500 0.500 Tc
0.000 0.000 0.000 Ru
```

- energy (eV/atom) = -8.99
- calculated density (Mg/m³) = 10.11
- M_tot (Bohr magnetons per cell) = 0.8
- ΔE_f (eV/atom) = 1.39
- crystal system = tetragonal
- symmetry = P4/mmm (123)


No. 4
This record from the Alexandria database describes an optimized crystal structure of TlBiH3. The functional is PBEsol.

POSCAR file:
```
TlBiH3
1.0
-3.945 -1.677 0.583
-0.466 -0.394 -4.283
1.714 -3.968 0.179
Bi Tl H
1 1 3
Direct
0.000 0.000 0.000 Bi
0.500 0.500 0.500 Tl
0.000 0.000 0.500 H
0.000 0.500 0.000 H
0.500 0.000 0.000 H
```

- energy (eV/atom) = -2.90
- calculated density (Mg/m³) = 8.54
- M_tot (Bohr magnetons per cell) = 0.0
- crystal system = cubic
- symmetry = Pm-3m (221)


No. 5
This record from the Alexandria database describes an optimized crystal structure of Mg3AsIr. The functional is PBEsol.

POSCAR file:
```
Mg3AsIr
1.0
-2.622 -2.923 2.863
3.115 -3.631 -0.853
2.652 1.374 3.833
As Mg Ir
1 3 1
Direct
0.500 0.500 0.500 As
0.500 0.000 0.000 Mg
0.000 0.000 0.500 Mg
0.000 0.500 0.000 Mg
0.000 0.000 0.000 Ir
```

- energy (eV/atom) = -3.79
- calculated density (Mg/m³) = 4.92
- M_tot (Bohr magnetons per cell) = 0.0
- ΔE_f (eV/atom) = 0.23
- crystal system = cubic
- symmetry = Pm-3m (221)


No. 6
This record from the Alexandria database describes an optimized crystal structure of MoOs2Pd. The functional is PBEsol.

POSCAR file:
```
MoOs2Pd
1.0
-2.443 0.826 -3.502
-3.730 -2.154 -0.607
-3.801 2.068 0.439
Os Mo Pd
2 1 1
Direct
0.750 0.750 0.750 Os
0.250 0.250 0.250 Os
0.000 0.000 0.000 Mo
0.500 0.500 0.500 Pd
```

- energy (eV/atom) = -10.15
- calculated density (Mg/m³) = 16.64
- M_tot (Bohr magnetons per cell) = 0.0
- ΔE_f (eV/atom) = 0.39
- crystal system = cubic
- symmetry = Fm-3m (225)


No. 7
This record from the Alexandria database describes an optimized crystal structure of Sr2YCoO6. The functional is PBEsol.

POSCAR file:
```
Sr2YCoO6
1.0
5.637 -0.043 -0.061
-2.781 4.903 0.061
-2.781 -1.635 4.623
Y Sr O Co
1 2 6 1
Direct
0.000 0.500 0.500 Y
0.500 0.750 0.250 Sr
0.500 0.250 0.750 Sr
0.000 0.770 0.230 O
0.000 0.770 0.770 O
0.541 0.770 0.770 O
0.000 0.230 0.770 O
0.000 0.230 0.230 O
0.459 0.230 0.230 O
0.000 0.000 0.000 Co
```

- formation energy (no corrections) (eV/atom) = -2.337
- energy (eV/atom) = -7.31
- calculated density (Mg/m³) = 5.49
- M_tot (Bohr magnetons per cell) = 2.0
- crystal system = cubic
- symmetry = Fm-3m (225)


No. 8
This record from the Alexandria database describes an optimized crystal structure of CsGeCl3. The functional is PBEsol.

POSCAR file:
```
CsGeCl3
1.0
-4.011 5.297 -3.419
-6.886 -1.534 -2.462
-5.953 2.988 3.448
Cl Ge Cs
6 2 2
Direct
0.232 0.760 0.777 Cl
0.260 0.732 0.277 Cl
0.731 0.260 0.277 Cl
0.732 0.731 0.277 Cl
0.760 0.231 0.777 Cl
0.231 0.232 0.777 Cl
0.003 0.003 0.992 Ge
0.503 0.503 0.492 Ge
0.746 0.746 0.762 Cs
0.246 0.246 0.262 Cs
```

- formation energy (no corrections) (eV/atom) = -1.343
- energy (eV/atom) = -3.72
- calculated density (Mg/m³) = 3.49
- M_tot (Bohr magnetons per cell) = 0.0
- crystal system = trigonal
- symmetry = R3m (160)


energy of number 1 (Lu2AgHg)?
-3.88 eV/atom